[1]
Entry from Alexandria via LeMat-Bulk: an optimized crystal structure of SrEu3Os (PBE).

The structure in POSCAR format:
```
SrEu3Os
1.0
5.715 0.000 0.000
0.000 5.715 0.000
0.000 0.000 5.715
Sr Eu Os
1 3 1
Cartesian
0.000 0.000 0.000
0.000 2.858 2.858
2.858 0.000 2.858
2.858 2.858 0.000
2.858 2.858 2.858
```

Output
D(E_F) in states/eV per cell: 22.07
Formation enthalpy at 0 K in eV/atom: 0.149
Crystal system: cubic
E_tot in eV per atom: -8.598
Calculated density in g cm⁻³: 6.5

=====

[2]
Entry from Alexandria via LeMat-Bulk: an optimized crystal structure of Rb2BeSCl6 (PBE).

The structure in POSCAR format:
```
Rb2BeSCl6
1.0
-3.679 3.679 5.112
3.679 -3.679 5.112
3.679 3.679 -5.112
Rb Be S Cl
2 1 1 6
Cartesian
3.679 0.000 2.556
0.000 3.679 2.556
0.000 0.000 0.000
0.000 0.000 5.112
1.529 1.529 0.000
2.150 -2.150 5.112
0.000 0.000 2.882
0.000 0.000 7.342
-2.150 2.150 5.112
2.150 2.150 5.112
```

Output
D(E_F) in states/eV per cell: 0.00
Crystal system: tetragonal
E_tot in eV per atom: -3.095
Calculated density in g cm⁻³: 2.5
Formation energy (no corrections) in eV per formula unit: -10.1

=====

[3]
Entry from Alexandria via LeMat-Bulk: an optimized crystal structure of Dy2HoTmTl4 (PBE).

The structure in POSCAR format:
```
Dy2HoTmTl4
1.0
2.674 1.544 8.752
-2.674 1.544 8.752
0.000 -3.087 8.752
Dy Ho Tm Tl
2 1 1 4
Cartesian
0.000 0.000 6.570
0.000 0.000 19.686
0.000 0.000 13.128
0.000 0.000 0.000
0.000 0.000 3.273
0.000 0.000 9.837
0.000 0.000 16.419
0.000 0.000 22.983
```

Output
D(E_F) in states/eV per cell: 6.57
Formation enthalpy at 0 K in eV/atom: -0.324
Crystal system: trigonal
E_tot in eV per atom: -3.789
Calculated density in g cm⁻³: 11.3

=====

[4]
Entry from Alexandria via LeMat-Bulk: an optimized crystal structure of Li2TiPdO (PBE).

The structure in POSCAR format:
```
Li2TiPdO
1.0
3.928 0.000 0.000
0.000 3.928 0.000
0.000 0.000 4.018
Li Ti Pd O
2 1 1 1
Cartesian
0.000 1.964 0.000
1.964 0.000 0.000
0.000 0.000 2.009
1.964 1.964 2.009
0.000 0.000 0.000
```

Output
D(E_F) in states/eV per cell: 2.77
Crystal system: tetragonal
E_tot in eV per atom: -5.558
Calculated density in g cm⁻³: 4.9
Formation energy (no corrections) in eV per formula unit: -5.9

=====

[5]
Entry from Alexandria via LeMat-Bulk: an optimized crystal structure of MgScPbAu (PBE).

The structure in POSCAR format:
```
MgScPbAu
1.0
0.000 3.510 3.510
3.510 0.000 3.510
3.510 3.510 0.000
Mg Sc Pb Au
1 1 1 1
Cartesian
0.000 0.000 0.000
3.510 3.510 3.510
1.755 1.755 1.755
5.265 5.265 5.265
```

Output
D(E_F) in states/eV per cell: 1.47
Formation enthalpy at 0 K in eV/atom: -0.435
Crystal system: cubic
E_tot in eV per atom: -4.163
Calculated density in g cm⁻³: 9.1

=====

[6]
Entry from Alexandria via LeMat-Bulk: an optimized crystal structure of KLiCu2Ir (PBE).

The structure in POSCAR format:
```
KLiCu2Ir
1.0
4.651 0.000 0.000
0.000 4.651 0.000
0.000 0.000 3.993
K Li Cu Ir
1 1 2 1
Cartesian
0.000 0.000 0.000
0.000 0.000 1.996
0.000 2.325 0.000
2.325 0.000 0.000
2.325 2.325 1.996
```

Output
D(E_F) in states/eV per cell: 2.26
Formation enthalpy at 0 K in eV/atom: 1.628
Crystal system: tetragonal
E_tot in eV per atom: -2.385
Calculated density in g cm⁻³: 7.0

=====

[7]
Entry from Alexandria via LeMat-Bulk: an optimized crystal structure of InAgPt6 (PBE).

The structure in POSCAR format:
```
InAgPt6
1.0
4.046 0.000 0.000
0.000 4.046 0.000
0.000 0.000 7.969
In Ag Pt
1 1 6
Cartesian
0.000 0.000 0.000
0.000 0.000 3.985
0.000 2.023 2.000
0.000 2.023 5.969
2.023 0.000 2.000
2.023 0.000 5.969
2.023 2.023 0.000
2.023 2.023 3.985
```

Output
D(E_F) in states/eV per cell: 10.30
Formation enthalpy at 0 K in eV/atom: -0.156
Crystal system: tetragonal
E_tot in eV per atom: -5.385
Calculated density in g cm⁻³: 17.7

=====

[8]
Entry from Alexandria via LeMat-Bulk: an optimized crystal structure of NaAsBr2 (PBE).

The structure in POSCAR format:
```
NaAsBr2
1.0
0.000 3.687 3.687
3.687 0.000 3.687
3.687 3.687 0.000
Na As Br
1 1 2
Cartesian
0.000 0.000 0.000
3.687 3.687 3.687
1.843 1.843 1.843
5.530 5.530 5.530
```

Output
D(E_F) in states/eV per cell: 4.23
Crystal system: cubic
E_tot in eV per atom: -2.509
Calculated density in g cm⁻³: 4.3
Formation energy (no corrections) in eV per formula unit: -0.7

=====

[9]
Entry from Alexandria via LeMat-Bulk: an optimized crystal structure of NbSbSe2S (PBE).

The structure in POSCAR format:
```
NbSbSe2S
1.0
4.743 0.000 0.000
0.000 4.743 0.000
0.000 0.000 5.145
Nb Sb Se S
1 1 2 1
Cartesian
0.000 0.000 0.000
2.372 2.372 0.000
0.000 2.372 2.572
2.372 0.000 2.572
2.372 2.372 2.572
```

Output
D(E_F) in states/eV per cell: 4.26
Crystal system: tetragonal
E_tot in eV per atom: -4.300
Calculated density in g cm⁻³: 5.8
Formation energy (no corrections) in eV per formula unit: 3.8

=====

[10]
Entry from Alexandria via LeMat-Bulk: an optimized crystal structure of Ta6NbTc (PBE).

The structure in POSCAR format:
```
Ta6NbTc
1.0
4.769 2.753 1.844
-4.769 2.753 1.844
0.000 -5.506 1.844
Ta Nb Tc
6 1 1
Cartesian
0.000 -2.722 2.301
-2.358 1.361 2.301
-2.358 -1.361 3.231
2.358 1.361 2.301
2.358 -1.361 3.231
0.000 2.722 3.231
0.000 0.000 0.000
0.000 0.000 2.766
```

Output
D(E_F) in states/eV per cell: 7.57
Formation enthalpy at 0 K in eV/atom: 0.105
Crystal system: trigonal
E_tot in eV per atom: -11.339
Calculated density in g cm⁻³: 14.6